Below is ErPaFeRh after structural relaxation, with properties calculated at the PBE level.

POSCAR file:
```
ErPaFeRh
1.0
6.772 0.000 0.000
0.000 6.772 0.000
0.000 0.000 6.772
Er Pa Fe Rh
4 4 4 4
Cartesian
0.000 0.000 0.000
0.000 3.386 3.386
3.386 0.000 3.386
3.386 3.386 0.000
0.000 0.000 3.386
0.000 3.386 0.000
3.386 0.000 0.000
3.386 3.386 3.386
1.693 1.693 1.693
1.693 5.079 5.079
5.079 1.693 5.079
5.079 5.079 1.693
1.693 1.693 5.079
1.693 5.079 1.693
5.079 1.693 1.693
5.079 5.079 5.079
```

Output
Volume   311 Å³/cell
Energy of formation from the pure elements   -30 kJ per mole of atoms
Space-group type   F-43m
VASP energy   -124.419 eV per cell